# 1
PBE SmSnB, relaxed; relative energy among the computed polymorphs = 693 meV/atom
1.0
0.000 3.379 3.379
3.379 0.000 3.379
3.379 3.379 0.000
Sm Sn B
1 1 1
Direct
0.000 0.000 0.000
0.250 0.250 0.250
0.750 0.750 0.750

---

# 2
PBE SmSnB, relaxed; relative energy among the computed polymorphs = 0 meV/atom
1.0
0.000 3.153 3.153
3.153 0.000 3.153
3.153 3.153 0.000
Sm Sn B
1 1 1
Direct
0.000 0.000 0.000
0.500 0.500 0.500
0.250 0.250 0.250

---

# 3
PBE SrSmB4, relaxed; relative energy among the computed polymorphs = 0 meV/atom
1.0
-1.573 3.765 3.868
1.573 -3.765 3.868
1.573 3.765 -3.868
Sr Sm B
1 1 4
Direct
0.000 0.000 0.000
0.500 0.500 0.000
0.022 0.753 0.270
0.483 0.753 0.730
0.517 0.247 0.270
0.978 0.247 0.730

---

# 4
PBE SrSmB4, relaxed; relative energy among the computed polymorphs = 123 meV/atom
1.0
3.332 0.000 0.000
-1.666 2.886 0.000
0.000 0.000 8.388
Sr Sm B
1 1 4
Direct
0.000 0.000 0.000
0.000 0.000 0.500
0.333 0.667 0.264
0.333 0.667 0.736
0.667 0.333 0.264
0.667 0.333 0.736

---

# 5
PBE SmTaB, relaxed; relative energy among the computed polymorphs = 1634 meV/atom
1.0
0.000 3.237 3.237
3.237 0.000 3.237
3.237 3.237 0.000
Sm Ta B
1 1 1
Direct
0.000 0.000 0.000
0.250 0.250 0.250
0.750 0.750 0.750

---

# 6
PBE SmTaB4, relaxed; electronic total energy = -47.31 eV per cell
1.0
3.152 0.000 0.000
-1.576 2.730 0.000
0.000 0.000 7.469
Sm Ta B
1 1 4
Direct
0.000 0.000 0.000
0.000 0.000 0.500
0.333 0.667 0.279
0.333 0.667 0.721
0.667 0.333 0.279
0.667 0.333 0.721

---

# 7
PBE SmTaB, relaxed; relative energy among the computed polymorphs = 0 meV/atom
1.0
0.000 3.020 3.020
3.020 0.000 3.020
3.020 3.020 0.000
Sm Ta B
1 1 1
Direct
0.000 0.000 0.000
0.500 0.500 0.500
0.250 0.250 0.250

---

# 8
PBE TbSmB4, relaxed; relative energy among the computed polymorphs = 0 meV/atom
1.0
3.313 0.000 0.000
-1.656 2.869 0.000
0.000 0.000 7.928
Tb Sm B
1 1 4
Direct
0.000 0.000 0.000
0.000 0.000 0.500
0.333 0.667 0.244
0.333 0.667 0.756
0.667 0.333 0.244
0.667 0.333 0.756

---

# 9
PBE Tb4Sm4B3, relaxed; electronic total energy = -57.06 eV per cell
1.0
3.564 0.000 0.000
1.684 6.119 0.000
1.679 -0.027 13.142
Tb Sm B
4 4 3
Direct
0.046 0.266 0.183
0.213 0.683 0.327
0.787 0.317 0.673
0.954 0.734 0.817
0.167 0.238 0.926
0.352 0.779 0.569
0.648 0.221 0.431
0.833 0.762 0.074
0.000 0.500 0.500
0.489 0.568 0.945
0.511 0.432 0.055

---

# 10
PBE TbSmB4, relaxed; relative energy among the computed polymorphs = 5 meV/atom
1.0
-1.657 2.871 3.964
1.657 -2.871 3.964
1.657 2.871 -3.964
Tb Sm B
1 1 4
Direct
0.000 0.000 0.000
0.500 0.500 0.000
0.082 0.749 0.333
0.415 0.749 0.667
0.585 0.251 0.333
0.918 0.251 0.667

---

# 11
PBE SmTcB, relaxed; relative energy among the computed polymorphs = 0 meV/atom
1.0
1.863 1.076 9.583
-1.863 1.076 9.583
0.000 -2.152 9.583
Sm Tc B
2 2 2
Direct
0.230 0.230 0.230
0.770 0.770 0.770
0.368 0.368 0.368
0.632 0.632 0.632
0.037 0.037 0.037
0.963 0.963 0.963

---

# 12
PBE SmTcB, relaxed; relative energy among the computed polymorphs = 218 meV/atom
1.0
0.000 2.959 2.959
2.959 0.000 2.959
2.959 2.959 0.000
Sm Tc B
1 1 1
Direct
0.000 0.000 0.000
0.500 0.500 0.500
0.250 0.250 0.250

---

# 13
PBE SmTc4B4, relaxed; electronic total energy = -153.12 eV per cell
1.0
7.411 0.000 0.000
0.000 7.411 0.000
0.000 0.000 4.234
Sm Tc B
2 8 8
Direct
0.250 0.250 0.250
0.750 0.750 0.750
0.117 0.626 0.120
0.126 0.883 0.620
0.374 0.617 0.620
0.383 0.874 0.120
0.617 0.126 0.880
0.626 0.383 0.380
0.874 0.117 0.380
0.883 0.374 0.880
0.061 0.923 0.121
0.077 0.561 0.621
0.423 0.939 0.621
0.439 0.577 0.121
0.561 0.423 0.879
0.577 0.061 0.379
0.923 0.439 0.379
0.939 0.077 0.879

---

# 14
PBE SmTcB, relaxed; relative energy among the computed polymorphs = 1616 meV/atom
1.0
0.000 3.096 3.096
3.096 0.000 3.096
3.096 3.096 0.000
Sm Tc B
1 1 1
Direct
0.000 0.000 0.000
0.250 0.250 0.250
0.750 0.750 0.750

---

# 15
PBE SmTcB4, relaxed; relative energy among the computed polymorphs = 81 meV/atom
1.0
-1.588 2.714 3.658
1.588 -2.714 3.658
1.588 2.714 -3.658
Sm Tc B
1 1 4
Direct
0.000 0.000 0.000
0.500 0.500 0.000
0.091 0.754 0.337
0.416 0.754 0.663
0.584 0.246 0.337
0.909 0.246 0.663

---

# 16
PBE SmTcB4, relaxed; relative energy among the computed polymorphs = 0 meV/atom
1.0
3.165 0.000 0.000
-1.583 2.741 0.000
0.000 0.000 7.177
Sm Tc B
1 1 4
Direct
0.000 0.000 0.000
0.000 0.000 0.500
0.333 0.667 0.284
0.333 0.667 0.716
0.667 0.333 0.284
0.667 0.333 0.716

---

# 17
PBE SmBTe, relaxed; relative energy among the computed polymorphs = 0 meV/atom
1.0
0.000 3.251 3.251
3.251 0.000 3.251
3.251 3.251 0.000
Sm B Te
1 1 1
Direct
0.000 0.000 0.000
0.250 0.250 0.250
0.500 0.500 0.500

---

# 18
PBE SmBTe, relaxed; relative energy among the computed polymorphs = 414 meV/atom
1.0
0.000 3.462 3.462
3.462 0.000 3.462
3.462 3.462 0.000
Sm B Te
1 1 1
Direct
0.000 0.000 0.000
0.500 0.500 0.500
0.750 0.750 0.750

---

# 19
PBE SmBTe, relaxed; relative energy among the computed polymorphs = 309 meV/atom
1.0
0.000 3.456 3.456
3.456 0.000 3.456
3.456 3.456 0.000
Sm B Te
1 1 1
Direct
0.000 0.000 0.000
0.750 0.750 0.750
0.250 0.250 0.250

---

# 20
PBE SmThB4, relaxed; relative energy among the computed polymorphs = 9 meV/atom
1.0
-1.667 2.882 4.112
1.667 -2.882 4.112
1.667 2.882 -4.112
Sm Th B
1 1 4
Direct
0.000 0.000 0.000
0.500 0.500 0.000
0.083 0.750 0.333
0.417 0.750 0.667
0.583 0.250 0.333
0.917 0.250 0.667

---

# 21
PBE SmThB, relaxed; relative energy among the computed polymorphs = 0 meV/atom
1.0
0.000 3.268 3.268
3.268 0.000 3.268
3.268 3.268 0.000
Sm Th B
1 1 1
Direct
0.000 0.000 0.000
0.500 0.500 0.500
0.250 0.250 0.250

---

# 22
PBE SmThB4, relaxed; relative energy among the computed polymorphs = 0 meV/atom
1.0
3.326 0.000 0.000
-1.663 2.881 0.000
0.000 0.000 8.233
Sm Th B
1 1 4
Direct
0.000 0.000 0.000
0.000 0.000 0.500
0.333 0.667 0.245
0.333 0.667 0.755
0.667 0.333 0.245
0.667 0.333 0.755

---

# 23
PBE SmTmB4, relaxed; relative energy among the computed polymorphs = 21 meV/atom
1.0
-1.649 2.858 3.906
1.649 -2.858 3.906
1.649 2.858 -3.906
Sm Tm B
1 1 4
Direct
0.000 0.000 0.000
0.500 0.500 0.000
0.085 0.752 0.334
0.418 0.752 0.666
0.582 0.248 0.334
0.915 0.248 0.666

---

# 24
PBE SmTmB, relaxed; relative energy among the computed polymorphs = 0 meV/atom
1.0
0.000 3.213 3.213
3.213 0.000 3.213
3.213 3.213 0.000
Sm Tm B
1 1 1
Direct
0.000 0.000 0.000
0.500 0.500 0.500
0.250 0.250 0.250

---

# 25
PBE SmTmB4, relaxed; relative energy among the computed polymorphs = 0 meV/atom
1.0
3.290 0.000 0.000
-1.645 2.850 0.000
0.000 0.000 7.814
Sm Tm B
1 1 4
Direct
0.000 0.000 0.000
0.000 0.000 0.500
0.333 0.667 0.262
0.333 0.667 0.738
0.667 0.333 0.262
0.667 0.333 0.738

---

# 26
PBE SmUB, relaxed; relative energy among the computed polymorphs = 0 meV/atom
1.0
0.000 3.145 3.145
3.145 0.000 3.145
3.145 3.145 0.000
Sm U B
1 1 1
Direct
0.000 0.000 0.000
0.500 0.500 0.500
0.250 0.250 0.250

---

# 27
PBE SmB3W, relaxed; electronic total energy = -80.39 eV per cell
1.0
5.538 0.000 0.000
0.000 3.180 0.000
-1.586 0.000 6.742
Sm B W
2 6 2
Direct
0.169 0.250 0.205
0.831 0.750 0.795
0.083 0.750 0.494
0.413 0.750 0.495
0.420 0.750 0.973
0.580 0.250 0.027
0.587 0.250 0.505
0.917 0.250 0.506
0.315 0.250 0.717
0.685 0.750 0.283

---

# 28
PBE SmYB4, relaxed; relative energy among the computed polymorphs = 0 meV/atom
1.0
3.313 0.000 0.000
-1.657 2.869 0.000
0.000 0.000 7.897
Sm Y B
1 1 4
Direct
0.000 0.000 0.000
0.000 0.000 0.500
0.333 0.667 0.257
0.333 0.667 0.743
0.667 0.333 0.257
0.667 0.333 0.743

---

no.,total magnetic moment (μB per atom)
1,0.00
2,0.00
3,0.00
4,0.01
5,0.84
6,0.00
7,0.00
8,0.00
9,0.00
10,0.00
11,0.00
12,0.00
13,0.00
14,0.14
15,0.00
16,0.00
17,0.01
18,0.00
19,0.01
20,0.00
21,0.00
22,0.00
23,0.00
24,0.00
25,0.00
26,0.67
27,0.00
28,0.00